Below is a relaxed structure of Pm10ErSc6, with properties calculated at the PBE level.

The calculation puts the total magnetic moment at 0.000 μB per atom. The calculation puts the energy of formation at 0.137 eV per atom. Its total energy is -87.73 eV per cell.

It has space group P-31m (No. 162), with a = 9.5190 Å, b = 9.5190 Å, c = 6.7171 Å, α = 90.00°, β = 90.00° and γ = 120.00°. Symmetry generates all atoms from Pm at (0.0000, 0.2819, 0.1779), Pm at (0.3333, 0.6667, 0.0000), Pm at (0.3333, 0.6667, 0.5000), Er at (0.0000, 0.0000, 0.5000) and Sc at (0.0000, 0.3588, 0.6711).

---

Below is a relaxed structure of ZrTi3S, with properties calculated at the PBE level.

The value obtained for the energy above the most stable polymorph in this dataset is 1711 meV per atom. The calculation puts the total magnetic moment at 0.548 μB per atom. The formation energy from raw total energies is 1.265 eV/atom. Its total energy is -30.04 eV per cell.

It has space group Pm-3m (No. 221), with a = 4.8640 Å, b = 4.8640 Å, c = 4.8640 Å, α = 90.00°, β = 90.00° and γ = 90.00°. Symmetry generates all atoms from Zr at (0.0000, 0.0000, 0.0000), Ti at (0.0000, 0.0000, 0.5000) and S at (0.5000, 0.5000, 0.5000).

---

Below is a relaxed structure of NaBe2Re2, with properties calculated at the PBE level.

The value obtained for the energy above the most stable polymorph in this dataset is 308 meV per atom. The calculation puts the total magnetic moment at 0.000 μB per atom. The calculation puts the energy of formation at 0.700 eV per atom. Its total energy is -60.34 eV per cell.

It has space group I4/mmm (No. 139), with a = 4.3225 Å, b = 4.3225 Å, c = 7.9155 Å, α = 90.00°, β = 90.00° and γ = 90.00°. Symmetry generates all atoms from Na at (0.0000, 0.0000, 0.0000), Be at (0.0000, 0.5000, 0.2500) and Re at (0.0000, 0.0000, 0.3487).

---

Below is a relaxed structure of Li2Tc2As2H, with properties calculated at the PBE level.

The calculation puts the total magnetic moment at 0.000 μB per atom. Its total energy is -78.41 eV per cell.

It has space group I4/mmm (No. 139), with a = 3.9636 Å, b = 3.9636 Å, c = 12.9484 Å, α = 90.00°, β = 90.00° and γ = 90.00°. Symmetry generates all atoms from Li at (0.0000, 0.0000, 0.1645), Tc at (0.0000, 0.5000, 0.0000), As at (0.0000, 0.0000, 0.3712) and H at (0.0000, 0.0000, 0.0000).

---

Below is a relaxed structure of LiTaO2, with properties calculated at the PBE level.

The calculation puts the total magnetic moment at 0.500 μB per atom. The formation energy from raw total energies is -1.478 eV/atom. Its total energy is -118.37 eV per cell.

It has space group Fm-3m (No. 225), with a = 5.2913 Å, b = 5.2913 Å, c = 5.2913 Å, α = 90.00°, β = 90.00° and γ = 90.00°. Symmetry generates all atoms from Li at (0.0000, 0.0000, 0.0000), Ta at (0.0000, 0.0000, 0.5000) and O at (0.2500, 0.2500, 0.2500).

---

Below is a relaxed structure of SrBi2Ir, with properties calculated at the PBE level.

The value obtained for the energy above the most stable polymorph in this dataset is 281 meV per atom. The calculation puts the total magnetic moment at 0.000 μB per atom. The calculation puts the energy of formation at 0.018 eV per atom. Its total energy is -72.94 eV per cell.

It has space group Fm-3m (No. 225), with a = 7.4202 Å, b = 7.4202 Å, c = 7.4202 Å, α = 90.00°, β = 90.00° and γ = 90.00°. Symmetry generates all atoms from Sr at (0.0000, 0.0000, 0.0000), Bi at (0.2500, 0.2500, 0.2500) and Ir at (0.0000, 0.0000, 0.5000).

---

Below is a relaxed structure of HgRhCl3, with properties calculated at the PBE level.

The value obtained for the energy above the most stable polymorph in this dataset is 0 meV per atom. The calculation puts the total magnetic moment at 0.000 μB per atom. The formation energy from raw total energies is -0.426 eV/atom. Its total energy is -61.30 eV per cell.

It has space group P2/c (No. 13), with a = 6.6887 Å, b = 7.3495 Å, c = 11.7806 Å, α = 90.00°, β = 95.30° and γ = 90.00°. Symmetry generates all atoms from Hg at (0.0802, 0.0087, 0.3766), Rh at (0.0471, 0.3335, 0.6069), Cl at (0.1484, 0.3442, 0.0684), Cl at (0.2335, 0.3793, 0.7860) and Cl at (0.3165, 0.2314, 0.5071).

---

Below is a relaxed structure of Na12MgTl3, with properties calculated at the PBE level.

The calculation puts the total magnetic moment at 0.000 μB per atom. The calculation puts the energy of formation at -0.033 eV per atom. Its total energy is -25.05 eV per cell.

It has space group P4/mmm (No. 123), with a = 5.0493 Å, b = 5.0493 Å, c = 19.5203 Å, α = 90.00°, β = 90.00° and γ = 90.00°. Symmetry generates all atoms from Na at (0.0000, 0.0000, 0.0000), Na at (0.0000, 0.0000, 0.2466), Na at (0.0000, 0.0000, 0.5000), Na at (0.0000, 0.5000, 0.1227), Na at (0.0000, 0.5000, 0.3701), Mg at (0.5000, 0.5000, 0.5000), Tl at (0.5000, 0.5000, 0.0000) and Tl at (0.5000, 0.5000, 0.2463).

---

Below is a relaxed structure of Rb3Se, with properties calculated at the PBE level.

The value obtained for the energy above the most stable polymorph in this dataset is 51 meV per atom. The calculation puts the total magnetic moment at 0.000 μB per atom. The formation energy from raw total energies is -0.612 eV/atom. Its total energy is -8.84 eV per cell.

It has space group P-4m2 (No. 115), with a = 4.8871 Å, b = 4.8871 Å, c = 9.4918 Å, α = 90.00°, β = 90.00° and γ = 90.00°. Symmetry generates all atoms from Rb at (0.0000, 0.0000, 0.0000), Rb at (0.0000, 0.5000, 0.7124) and Se at (0.5000, 0.5000, 0.0000).

---

Below is a relaxed structure of Ho4TcAu, with properties calculated at the PBE level.

The calculation puts the total magnetic moment at 0.000 μB per atom. The calculation puts the energy of formation at -0.384 eV per atom. Its total energy is -137.04 eV per cell.

It has space group C2/c (No. 15), with a = 9.0048 Å, b = 12.8946 Å, c = 6.3382 Å, α = 90.00°, β = 121.15° and γ = 90.00°. Symmetry generates all atoms from Ho at (0.1173, 0.1729, 0.0871), Ho at (0.2098, 0.4328, 0.2953), Tc at (0.0000, 0.0023, 0.7500) and Au at (0.0000, 0.3667, 0.7500).